[1]
This record from Alexandria via LeMat-Bulk describes a geometry-optimized TiMo2Ir2 structure. The functional is PBE.

Computed properties:
DOS(E_F): 4.09 states/eV/f.u.
Polymorph energy (0 for the lowest one): 0 meV per atom
Symmetry: P4/mbm
Total magnetization: 0.00 Bohr magnetons per cell
DFT formation energy: -0.171 eV per atom

Cell and atoms, written as POSCAR:
```
TiMo2Ir2
1.0
7.5970 0.0000 0.0000
0.0000 7.5970 0.0000
0.0000 0.0000 2.8028
Ti Mo Ir
2 4 4
Direct
0.0000 0.0000 0.0000 Ti
0.5000 0.5000 0.0000 Ti
0.1704 0.3296 0.5000 Mo
0.3296 0.8296 0.5000 Mo
0.6704 0.1704 0.5000 Mo
0.8296 0.6704 0.5000 Mo
0.1273 0.6273 0.0000 Ir
0.3727 0.1273 0.0000 Ir
0.6273 0.8727 0.0000 Ir
0.8727 0.3727 0.0000 Ir
```

[2]
This record from Alexandria via LeMat-Bulk describes a geometry-optimized TiMo2Ir structure. The functional is PBE.

Computed properties:
DOS(E_F): 3.34 states/eV/f.u.
Polymorph energy (0 for the lowest one): 403 meV per atom
Symmetry: I-42d
Total magnetization: 0.00 Bohr magnetons per cell
DFT formation energy: 0.331 eV per atom

Cell and atoms, written as POSCAR:
```
TiMo2Ir
1.0
-3.6556 3.6556 2.5524
3.6556 -3.6556 2.5524
3.6556 3.6556 -2.5524
Ti Mo Ir
2 4 2
Direct
0.0000 0.0000 0.0000 Ti
0.7500 0.2500 0.5000 Ti
0.1460 0.6250 0.0210 Mo
0.3750 0.3960 0.5210 Mo
0.6040 0.1250 0.9790 Mo
0.8750 0.8540 0.4790 Mo
0.2500 0.7500 0.5000 Ir
0.5000 0.5000 0.0000 Ir
```

[3]
This record from Alexandria via LeMat-Bulk describes a geometry-optimized TiMo2Ir structure. The functional is PBE.

Computed properties:
DOS(E_F): 5.34 states/eV/f.u.
Polymorph energy (0 for the lowest one): 0 meV per atom
Symmetry: Fm-3m
Total magnetization: 0.00 Bohr magnetons per cell
DFT formation energy: -0.072 eV per atom

Cell and atoms, written as POSCAR:
```
TiMo2Ir
1.0
0.0000 3.1380 3.1380
3.1380 0.0000 3.1380
3.1380 3.1380 0.0000
Ti Mo Ir
1 2 1
Direct
0.0000 0.0000 0.0000 Ti
0.2500 0.2500 0.2500 Mo
0.7500 0.7500 0.7500 Mo
0.5000 0.5000 0.5000 Ir
```

[4]
This record from Alexandria via LeMat-Bulk describes a geometry-optimized TiVMoIr structure. The functional is PBE.

Computed properties:
DOS(E_F): 1.79 states/eV/f.u.
Symmetry: F-43m
Total magnetization: 0.00 Bohr magnetons per cell
DFT formation energy: -0.523 eV per atom

Cell and atoms, written as POSCAR:
```
TiVMoIr
1.0
0.0000 3.0835 3.0835
3.0835 0.0000 3.0835
3.0835 3.0835 0.0000
Ti V Mo Ir
1 1 1 1
Direct
0.0000 0.0000 0.0000 Ti
0.5000 0.5000 0.5000 V
0.7500 0.7500 0.7500 Mo
0.2500 0.2500 0.2500 Ir
```

[5]
This record from Alexandria via LeMat-Bulk describes a geometry-optimized Zr2TiMoIr structure. The functional is PBE.

Computed properties:
DOS(E_F): 8.63 states/eV/f.u.
Symmetry: P4/mmm
Total magnetization: 0.00 Bohr magnetons per cell
DFT formation energy: 0.686 eV per atom

Cell and atoms, written as POSCAR:
```
Zr2TiMoIr
1.0
5.0616 0.0000 0.0000
0.0000 5.0616 0.0000
0.0000 0.0000 4.5397
Zr Ti Mo Ir
2 1 1 1
Direct
0.0000 0.5000 0.0000 Zr
0.5000 0.0000 0.0000 Zr
0.0000 0.0000 0.5000 Ti
0.5000 0.5000 0.5000 Mo
0.0000 0.0000 0.0000 Ir
```

[6]
This record from Alexandria via LeMat-Bulk describes a geometry-optimized Tl2MoIr structure. The functional is PBE.

Computed properties:
DOS(E_F): 3.78 states/eV/f.u.
Polymorph energy (0 for the lowest one): 753 meV per atom
Symmetry: I-42d
Total magnetization: 2.90 Bohr magnetons per cell
DFT formation energy: 1.042 eV per atom

Cell and atoms, written as POSCAR:
```
Tl2MoIr
1.0
-3.8713 3.8713 2.8143
3.8713 -3.8713 2.8143
3.8713 3.8713 -2.8143
Tl Mo Ir
4 2 2
Direct
0.1101 0.1250 0.4851 Tl
0.3750 0.8899 0.0149 Tl
0.6399 0.6250 0.5149 Tl
0.8750 0.3601 0.9851 Tl
0.2500 0.7500 0.5000 Mo
0.5000 0.5000 0.0000 Mo
0.0000 0.0000 0.0000 Ir
0.7500 0.2500 0.5000 Ir
```

[7]
This record from Alexandria via LeMat-Bulk describes a geometry-optimized TlMo2Ir structure. The functional is PBE.

Computed properties:
DOS(E_F): 2.84 states/eV/f.u.
Polymorph energy (0 for the lowest one): 21 meV per atom
Symmetry: P4mm
Total magnetization: 0.00 Bohr magnetons per cell
DFT formation energy: 0.340 eV per atom

Cell and atoms, written as POSCAR:
```
TlMo2Ir
1.0
2.8650 0.0000 0.0000
0.0000 2.8650 0.0000
0.0000 0.0000 8.4477
Tl Mo Ir
1 2 1
Direct
0.0000 0.0000 0.0000 Tl
0.0000 0.0000 0.4745 Mo
0.5000 0.5000 0.7240 Mo
0.5000 0.5000 0.2706 Ir
```

[8]
This record from Alexandria via LeMat-Bulk describes a geometry-optimized Tl2MoIr structure. The functional is PBE.

Computed properties:
DOS(E_F): 4.44 states/eV/f.u.
Polymorph energy (0 for the lowest one): 585 meV per atom
Symmetry: F-43m
Total magnetization: 1.61 Bohr magnetons per cell
DFT formation energy: 0.875 eV per atom

Cell and atoms, written as POSCAR:
```
Tl2MoIr
1.0
0.0000 3.4034 3.4034
3.4034 0.0000 3.4034
3.4034 3.4034 0.0000
Tl Mo Ir
2 1 1
Direct
0.0000 0.0000 0.0000 Tl
0.2500 0.2500 0.2500 Tl
0.7500 0.7500 0.7500 Mo
0.5000 0.5000 0.5000 Ir
```

[9]
This record from Alexandria via LeMat-Bulk describes a geometry-optimized TlMo2Ir structure. The functional is PBE.

Computed properties:
DOS(E_F): 3.82 states/eV/f.u.
Polymorph energy (0 for the lowest one): 44 meV per atom
Symmetry: Pmmm
Total magnetization: 0.00 Bohr magnetons per cell
DFT formation energy: 0.363 eV per atom

Cell and atoms, written as POSCAR:
```
TlMo2Ir
1.0
2.8424 0.0000 0.0000
0.0000 4.1380 0.0000
0.0000 0.0000 5.8481
Tl Mo Ir
1 2 1
Direct
0.0000 0.0000 0.0000 Tl
0.5000 0.5000 0.2866 Mo
0.5000 0.5000 0.7134 Mo
0.0000 0.0000 0.5000 Ir
```

[10]
This record from Alexandria via LeMat-Bulk describes a geometry-optimized Tl2MoIr structure. The functional is PBE.

Computed properties:
DOS(E_F): 3.49 states/eV/f.u.
Polymorph energy (0 for the lowest one): 511 meV per atom
Symmetry: Fm-3m
Total magnetization: 2.42 Bohr magnetons per cell
DFT formation energy: 0.801 eV per atom

Cell and atoms, written as POSCAR:
```
Tl2MoIr
1.0
0.0000 3.3714 3.3714
3.3714 0.0000 3.3714
3.3714 3.3714 0.0000
Tl Mo Ir
2 1 1
Direct
0.2500 0.2500 0.2500 Tl
0.7500 0.7500 0.7500 Tl
0.0000 0.0000 0.0000 Mo
0.5000 0.5000 0.5000 Ir
```

[11]
This record from Alexandria via LeMat-Bulk describes a geometry-optimized TlMo4Ir structure. The functional is PBE.

Computed properties:
DOS(E_F): 4.20 states/eV/f.u.
Symmetry: F-43m
Total magnetization: 0.00 Bohr magnetons per cell
DFT formation energy: 0.522 eV per atom

Cell and atoms, written as POSCAR:
```
TlMo4Ir
1.0
0.0000 3.7176 3.7176
3.7176 0.0000 3.7176
3.7176 3.7176 0.0000
Tl Mo Ir
1 4 1
Direct
0.0000 0.0000 0.0000 Tl
0.3739 0.3739 0.3739 Mo
0.3739 0.3739 0.8782 Mo
0.3739 0.8782 0.3739 Mo
0.8782 0.3739 0.3739 Mo
0.7500 0.7500 0.7500 Ir
```

[12]
This record from Alexandria via LeMat-Bulk describes a geometry-optimized TlMo2Ir structure. The functional is PBE.

Computed properties:
DOS(E_F): 4.54 states/eV/f.u.
Polymorph energy (0 for the lowest one): 124 meV per atom
Symmetry: R-3m
Total magnetization: 0.00 Bohr magnetons per cell
DFT formation energy: 0.443 eV per atom

Cell and atoms, written as POSCAR:
```
TlMo2Ir
1.0
1.4460 0.8348 9.4392
-1.4460 0.8348 9.4392
0.0000 -1.6697 9.4392
Tl Mo Ir
1 2 1
Direct
0.0000 0.0000 0.0000 Tl
0.2441 0.2441 0.2441 Mo
0.7559 0.7559 0.7559 Mo
0.5000 0.5000 0.5000 Ir
```